The following is a DFT calculation (PBE-GGA) of PPtCl2 after structural relaxation.

Energy above the most stable polymorph in this dataset, eV per formula unit: 0.000
V, Å³/cell: 188.6
Density of states at the Fermi level, states/eV per cell: 1.95
Energy relative to the elements, uncorrected, meV per atom: -576
Total moment, μB/f.u.: 0.000

Lattice parameters (Å, degrees): 6.5381 3.5730 8.0969 90.00 94.52 90.00
Closest atoms and distances in Å follow each position.
Space group Cm (No. 8)
Symmetry-distinct sites (fractional):
P  0.0000  0.0000  0.0000  1 Cl 2.03
Pt  0.1775  0.5000  0.1173  3 P 2.30-2.38, 2 Cl 2.54
Cl  0.2510  0.0000  0.3377  2 Pt 2.54
Cl  0.4694  0.5000  0.7484  1 P 2.03